Entry 1:
Entry from the Alexandria database: a relaxed NaTcO3 crystal (PBE).

Lattice parameters (Å, degrees): 3.570 3.570 12.381 90.00 90.00 120.00
Sites, in units of the cell vectors:
1 Na 0.000 0.000 0.000
2 Na 0.000 0.000 0.500
3 Tc 0.333 0.667 0.250
4 Tc 0.667 0.333 0.750
5 O 0.000 0.000 0.250
6 O 0.000 0.000 0.750
7 O 0.333 0.667 0.105
8 O 0.333 0.667 0.395
9 O 0.667 0.333 0.605
10 O 0.667 0.333 0.895

As for the volume: 68.3 Å³/f.u. As for the density of states at the Fermi level: 0.35 states/eV per atom. As for the space-group type: P6_3/mmc, No. 194. As for the uncorrected formation energy: -617.2 kJ/mol of formula units.

***

Entry 2:
Entry from the Alexandria database: a relaxed RbSi2F crystal (PBE).

Lattice parameters (Å, degrees): 11.538 11.538 11.538 157.72 157.72 31.71
Sites, in units of the cell vectors:
1 Rb 0.375 0.625 0.750
2 Rb 0.625 0.375 0.250
3 Si 0.000 0.000 0.000
4 Si 0.000 0.000 0.500
5 Si 0.000 0.500 0.000
6 Si 0.500 0.000 0.500
7 F 0.125 0.875 0.250
8 F 0.875 0.125 0.750

As for the volume: 110.3 Å³/f.u. As for the density of states at the Fermi level: 0.48 states/eV per atom. As for the space-group type: I4_1/amd, No. 141. As for the uncorrected formation energy: -91.4 kJ/mol of formula units. The energy above the lowest structure with this stoichiometry comes out at 0.000 eV/atom.

***

Entry 3:
Entry from the Alexandria database: a relaxed Tb8Te3AuSe3 crystal (PBE).

Lattice parameters (Å, degrees): 8.523 8.523 8.523 58.96 58.96 58.96
Sites, in units of the cell vectors:
1 Tb 0.239 0.743 0.743
2 Tb 0.240 0.240 0.240
3 Tb 0.257 0.257 0.761
4 Tb 0.257 0.761 0.257
5 Tb 0.743 0.239 0.743
6 Tb 0.743 0.743 0.239
7 Tb 0.760 0.760 0.760
8 Tb 0.761 0.257 0.257
9 Te 0.000 0.500 0.500
10 Te 0.500 0.000 0.500
11 Te 0.500 0.500 0.000
12 Au 0.500 0.500 0.500
13 Se 0.000 0.000 0.500
14 Se 0.000 0.500 0.000
15 Se 0.500 0.000 0.000

As for the volume: 427.3 Å³/f.u. As for the density of states at the Fermi level: 0.85 states/eV per atom. As for the space-group type: R-3m, No. 166. As for the uncorrected formation energy: -1853.8 kJ/mol of formula units.

***

Entry 4:
Entry from the Alexandria database: a relaxed CdSbW crystal (PBE).

Lattice parameters (Å, degrees): 4.633 4.633 4.633 60.00 60.00 60.00
Sites, in units of the cell vectors:
1 Cd 0.000 0.000 0.000
2 Sb 0.500 0.500 0.500
3 W 0.750 0.750 0.750

As for the volume: 70.3 Å³/f.u. As for the density of states at the Fermi level: 0.88 states/eV per atom. As for the space-group type: F-43m, No. 216. As for the uncorrected formation energy: 253.3 kJ/mol of formula units. The energy above the lowest structure with this stoichiometry comes out at 0.293 eV/atom.

***

Entry 5:
Entry from the Alexandria database: a relaxed TbNp2In3Te6 crystal (PBE).

Lattice parameters (Å, degrees): 7.681 7.681 8.533 98.62 98.62 120.01
Sites, in units of the cell vectors:
1 Tb 0.000 0.000 0.000
2 Np 0.333 0.667 0.000
3 Np 0.667 0.333 0.000
4 In 0.166 0.834 0.500
5 In 0.500 0.500 0.500
6 In 0.834 0.166 0.500
7 Te 0.073 0.406 0.220
8 Te 0.259 0.259 0.780
9 Te 0.406 0.073 0.220
10 Te 0.594 0.927 0.780
11 Te 0.741 0.741 0.220
12 Te 0.927 0.594 0.780

As for the volume: 415.9 Å³/f.u. As for the density of states at the Fermi level: 1.69 states/eV per atom. As for the space-group type: C2/m, No. 12. As for the uncorrected formation energy: -737.8 kJ/mol of formula units.

***

Entry 6:
Entry from the Alexandria database: a relaxed Pm4Sn crystal (PBE).

Lattice parameters (Å, degrees): 7.850 7.850 7.850 105.02 105.02 118.80
Sites, in units of the cell vectors:
1 Pm 0.216 0.282 0.566
2 Pm 0.216 0.650 0.934
3 Pm 0.282 0.216 0.066
4 Pm 0.350 0.784 0.566
5 Pm 0.650 0.216 0.434
6 Pm 0.718 0.784 0.934
7 Pm 0.784 0.350 0.066
8 Pm 0.784 0.718 0.434
9 Sn 0.125 0.875 0.250
10 Sn 0.875 0.125 0.750

As for the volume: 182.4 Å³/f.u. The formation energy is -91 meV/atom. As for the density of states at the Fermi level: 1.56 states/eV per atom. As for the space-group type: I4_1/amd, No. 141. The energy above the lowest structure with this stoichiometry comes out at 0.000 eV/atom.

***

Entry 7:
Entry from the Alexandria database: a relaxed Sm2Tl3BiSe6 crystal (PBE).

Lattice parameters (Å, degrees): 7.428 7.428 8.114 98.78 98.78 120.02
Sites, in units of the cell vectors:
1 Sm 0.167 0.833 0.000
2 Sm 0.833 0.167 0.000
3 Tl 0.000 0.000 0.500
4 Tl 0.333 0.667 0.500
5 Tl 0.667 0.333 0.500
6 Bi 0.500 0.500 0.000
7 Se 0.094 0.430 0.790
8 Se 0.234 0.234 0.211
9 Se 0.430 0.094 0.790
10 Se 0.570 0.906 0.210
11 Se 0.766 0.766 0.789
12 Se 0.906 0.570 0.210

As for the volume: 369.2 Å³/f.u. As for the space-group type: C2/m, No. 12. As for the uncorrected formation energy: -1240.1 kJ/mol of formula units.

***

Entry 8:
Entry from the Alexandria database: a relaxed BaSc2Ge crystal (PBE).

Lattice parameters (Å, degrees): 11.830 11.830 11.830 16.75 16.75 16.75
Sites, in units of the cell vectors:
1 Ba 0.000 0.000 0.000
2 Sc 0.423 0.423 0.423
3 Sc 0.577 0.577 0.577
4 Ge 0.500 0.500 0.500

As for the volume: 119.9 Å³/f.u. The formation energy is 437 meV/atom. As for the density of states at the Fermi level: 1.34 states/eV per atom. As for the space-group type: R-3m, No. 166.

***

Entry 9:
Entry from the Alexandria database: a relaxed AcTbSnAu crystal (PBE).

Lattice parameters (Å, degrees): 5.480 5.480 5.480 60.00 60.00 60.00
Sites, in units of the cell vectors:
1 Ac 0.000 0.000 0.000
2 Tb 0.500 0.500 0.500
3 Sn 0.750 0.750 0.750
4 Au 0.250 0.250 0.250

As for the volume: 116.4 Å³/f.u. The formation energy is -653 meV/atom. As for the density of states at the Fermi level: 0.90 states/eV per atom. As for the space-group type: F-43m, No. 216.

***

Entry 10:
Entry from the Alexandria database: a relaxed AcFeSe3 crystal (PBE).

Lattice parameters (Å, degrees): 4.897 4.897 4.897 90.00 90.00 90.00
Sites, in units of the cell vectors:
1 Ac 0.000 0.000 0.000
2 Fe 0.500 0.500 0.500
3 Se 0.000 0.500 0.500
4 Se 0.500 0.000 0.500
5 Se 0.500 0.500 0.000

As for the volume: 117.5 Å³/f.u. As for the density of states at the Fermi level: 0.88 states/eV per atom. As for the space-group type: Pm-3m, No. 221. As for the uncorrected formation energy: -452.6 kJ/mol of formula units.

***

Entry 11:
Entry from the Alexandria database: a relaxed YHoSnSe crystal (PBE).

Lattice parameters (Å, degrees): 4.252 4.252 6.004 90.00 90.00 90.00
Sites, in units of the cell vectors:
1 Y 0.000 0.000 0.000
2 Ho 0.500 0.500 0.500
3 Sn 0.500 0.500 0.000
4 Se 0.000 0.000 0.500

As for the volume: 108.5 Å³/f.u. As for the density of states at the Fermi level: 0.20 states/eV per atom. As for the space-group type: P4/mmm, No. 123. As for the uncorrected formation energy: -478.4 kJ/mol of formula units.

***

Entry 12:
Entry from the Alexandria database: a relaxed LaTcOs2 crystal (PBE).

Lattice parameters (Å, degrees): 4.824 4.824 4.824 126.04 126.04 79.83
Sites, in units of the cell vectors:
1 La 0.000 0.000 0.000
2 Tc 0.500 0.500 0.000
3 Os 0.250 0.750 0.500
4 Os 0.750 0.250 0.500

As for the volume: 70.9 Å³/f.u. The formation energy is 694 meV/atom. As for the density of states at the Fermi level: 1.33 states/eV per atom. As for the space-group type: I4/mmm, No. 139. The energy above the lowest structure with this stoichiometry comes out at 0.401 eV/atom.